This record from Alexandria via LeMat-Bulk describes crystalline LiScP2 at its relaxed geometry. The functional is PBE.

Lattice parameters (Å, degrees): 7.6302 3.8302 4.7883 90.00 111.96 90.00
Closest atoms and distances in Å follow each position.
Space group C2/m (No. 12)
Inequivalent atoms, fractional coordinates:
1 Li 0.0000 0.0000 0.0000 [2 per cell]  6 P 2.53-2.63
2 Sc 0.0000 0.5000 0.5000 [2 per cell]  6 P 2.68
3 P 0.2486 0.5000 0.2248 [4 per cell]  3 Li 2.53-2.63, 3 Sc 2.68

Results
Energy of formation from the pure elements ... -0.67 eV per atom
Total DFT energy (no corrections) ... -5.438 eV/atom
Crystal system ... monoclinic